[1]
{"formula": "CaCrC3", "functional": "PBE", "state": "optimized geometry", "cell": [[-4.094, 1.088, -0.669], [-1.051, -4.146, -0.311], [-0.726, -0.133, 4.225]], "species": ["Cr", "Ca", "C", "C", "C"], "frac_coords": [[0.500, 0.500, 0.500], [0.000, 0.000, 0.000], [0.000, 0.500, 0.000], [0.000, 0.000, 0.500], [0.500, 0.000, 0.000]], "n_ef_per_ev_cell": 3.42, "magmom_total_mub_per_fu": 3.0, "space_group": "Pm-3m", "polymorph_energy_ev_per_atom": 2.386, "formation_enthalpy_0k_ev_per_fu": 16.6}



[2]
{"formula": "Cs3Li2AcI8", "functional": "PBE", "state": "optimized geometry", "cell": [[8.773, 0.000, 0.000], [-4.387, 7.598, 0.000], [0.000, 0.000, 10.994]], "species": ["Cs", "Cs", "Cs", "Li", "Li", "Ac", "I", "I", "I", "I", "I", "I", "I", "I"], "frac_coords": [[0.333, 0.667, 0.632], [0.667, 0.333, 0.368], [0.000, 0.000, 0.000], [0.333, 0.667, 0.197], [0.667, 0.333, 0.803], [0.000, 0.000, 0.500], [0.333, 0.667, 0.961], [0.667, 0.333, 0.039], [0.170, 0.830, 0.323], [0.830, 0.170, 0.677], [0.170, 0.340, 0.323], [0.830, 0.660, 0.677], [0.660, 0.830, 0.323], [0.340, 0.170, 0.677]], "n_ef_per_ev_cell": 0.00, "e_form_raw_kj_per_mol_atoms": -136.1, "magmom_total_mub_per_fu": 0.0, "space_group": "P-3m1"}



[3]
{"formula": "SrNiP2", "functional": "PBE", "state": "optimized geometry", "cell": [[-4.588, 1.866, 0.269], [-1.428, -4.574, 1.279], [2.986, 3.188, 2.349]], "species": ["Ni", "P", "P", "Sr"], "frac_coords": [[0.147, 0.647, 0.500], [0.013, 0.013, 0.000], [0.832, 0.332, 0.500], [0.509, 0.509, 0.000]], "n_ef_per_ev_cell": 3.71, "magmom_total_mub_per_fu": 0.0, "space_group": "Imm2", "formation_enthalpy_0k_ev_per_fu": -0.6}



[4]
{"formula": "Rb2AsPb", "functional": "PBE", "state": "optimized geometry", "cell": [[0.000, 4.221, 4.221], [4.221, 0.000, 4.221], [4.221, 4.221, 0.000]], "species": ["Pb", "As", "Rb", "Rb"], "frac_coords": [[0.500, 0.500, 0.500], [0.000, 0.000, 0.000], [0.250, 0.250, 0.250], [0.750, 0.750, 0.750]], "n_ef_per_ev_cell": 2.91, "magmom_total_mub_per_fu": 0.6, "space_group": "Fm-3m", "polymorph_energy_ev_per_atom": 0.410, "formation_enthalpy_0k_ev_per_fu": 0.5}